An optimized crystal structure of InCoSbAu. Source: the Open Quantum Materials Database, functional PBE-GGA.

## Properties
Electronic total energy (eV/atom): -4.00
Distance to the lowest polymorph of the same formula (meV/atom): 0

Cell: 4.756 4.756 4.756 Å, 60.00 60.00 60.00°
Atoms (fractional coordinates):
Au (0.750, 0.750, 0.750)
In (0.000, 0.000, 0.000)
Sb (0.500, 0.500, 0.500)
Co (0.250, 0.250, 0.250)

=====

An optimized crystal structure of InCoAuSe3. Source: the Open Quantum Materials Database, functional PBE-GGA.

## Properties
Electronic total energy (eV/atom): -4.12

Cell: 7.192 7.192 10.137 Å, 90.00 90.00 29.56°
Site moments in Bohr magnetons follow the coordinates.
Atoms (fractional coordinates):
Co (0.000, 0.000, 0.500)  0.49
Se (0.611, 0.611, 0.986)  0.00
In (0.318, 0.318, 0.750)  0.01
Se (0.611, 0.611, 0.514)  0.00
Au (0.664, 0.664, 0.750)  0.02
In (0.682, 0.682, 0.250)  0.01
Se (0.966, 0.966, 0.750)  0.03
Se (0.389, 0.389, 0.486)  0.00
Au (0.336, 0.336, 0.250)  0.02
Co (0.000, 0.000, 0.000)  0.49
Se (0.034, 0.034, 0.250)  0.03
Se (0.389, 0.389, 0.014)  0.00

=====

An optimized crystal structure of InCoTe2AuSe. Source: the Open Quantum Materials Database, functional PBE-GGA.

## Properties
Electronic total energy (eV/atom): -3.92

Cell: 8.301 8.301 9.793 Å, 90.00 90.00 153.39°
Atoms (fractional coordinates):
Se (0.967, 0.033, 0.750)
In (0.722, 0.278, 0.750)
Se (0.033, 0.967, 0.250)
Co (0.000, 0.000, 0.000)
Au (0.657, 0.343, 0.250)
Te (0.395, 0.605, 0.478)
Au (0.343, 0.657, 0.750)
Te (0.605, 0.395, 0.522)
Te (0.395, 0.605, 0.022)
Te (0.605, 0.395, 0.978)
Co (0.000, 0.000, 0.500)
In (0.278, 0.722, 0.250)

=====

An optimized crystal structure of TaInCoAu. Source: the Open Quantum Materials Database, functional PBE-GGA.

## Properties
Electronic total energy (eV/atom): -5.95
Distance to the lowest polymorph of the same formula (meV/atom): 152

Cell: 4.559 4.559 4.559 Å, 60.00 60.00 60.00°
Site moments in Bohr magnetons follow the coordinates.
Atoms (fractional coordinates):
In (0.000, 0.000, 0.000)  0.02
Co (0.750, 0.750, 0.750)  -0.71
Au (0.500, 0.500, 0.500)  0.03
Ta (0.250, 0.250, 0.250)  0.11